Pm2H2PdO6 | Alexandria | GGA-PBE | relaxed; magnetization = 0.00 μB/f.u.; calculated density = 7.24 g/cm³; VASP energy = -6.305 eV per atom
1.0
-0.739 0.123 -5.024
3.910 -0.727 -3.161
0.139 -5.196 -2.715
O H Pm Pd
6 2 2 1
Direct
0.259 0.259 0.732
0.741 0.250 0.268
0.750 0.259 0.732
0.259 0.750 0.732
0.250 0.741 0.268
0.741 0.741 0.268
0.583 0.583 0.251
0.417 0.417 0.749
0.223 0.223 0.331
0.777 0.777 0.669
0.000 0.000 0.000

---

BaCd3N | Alexandria | GGA-PBE | relaxed; raw formation energy = 1436 meV per atom; magnetization = 2.23 μB/f.u.; calculated density = 2.21 g/cm³; VASP energy = -1.162 eV per atom
1.0
-5.243 4.803 0.816
-3.643 -4.661 4.029
3.235 2.536 5.859
Cd Ba N
3 1 1
Direct
0.500 0.000 0.000
0.000 0.000 0.500
0.000 0.500 0.000
0.000 0.000 0.000
0.500 0.500 0.500

---

Li3PdC | Alexandria | GGA-PBE | relaxed; E above lowest polymorph = 711 meV per atom; calculated formation energy = 1.17 eV per atom; magnetization = 2.95 μB/f.u.; calculated density = 2.18 g/cm³; VASP energy = -2.857 eV per atom
1.0
4.732 0.000 0.000
0.000 4.732 0.000
0.000 0.000 4.732
Pd C Li
1 1 3
Direct
0.000 0.000 0.000
0.500 0.500 0.500
0.000 0.500 0.000
0.500 0.000 0.000
0.000 0.000 0.500

---

Eu3TeO | Alexandria | GGA-PBE | relaxed; raw formation energy = -1587 meV per atom; magnetization = 22.72 μB/f.u.; calculated density = 7.82 g/cm³; VASP energy = -9.372 eV per atom
1.0
5.030 0.000 0.000
0.000 5.030 0.000
0.000 0.000 5.030
O Te Eu
1 1 3
Direct
0.000 0.000 0.000
0.500 0.500 0.500
0.500 0.000 0.000
0.000 0.500 0.000
0.000 0.000 0.500

---

HoTm7Sc3 | Alexandria | GGA-PBE | relaxed; calculated formation energy = 0.22 eV per atom; magnetization = 0.00 μB/f.u.; calculated density = 7.38 g/cm³; VASP energy = -4.764 eV per atom
1.0
8.184 0.000 0.000
0.000 6.860 0.000
0.000 -3.430 5.941
Sc Tm Ho
3 7 1
Direct
0.783 0.500 0.500
0.783 0.500 0.001
0.783 0.999 0.500
0.109 0.664 0.832
0.115 0.667 0.333
0.458 0.832 0.168
0.109 0.168 0.336
0.458 0.832 0.664
0.109 0.168 0.832
0.458 0.336 0.168
0.451 0.333 0.667

---

Tc2RuPt | Alexandria | GGA-PBE | relaxed; E above lowest polymorph = 148 meV per atom; calculated formation energy = 0.00 eV per atom; magnetization = 0.00 μB/f.u.; calculated density = 13.93 g/cm³; VASP energy = -9.017 eV per atom
1.0
9.160 0.002 0.001
8.749 2.711 0.001
8.749 1.326 2.365
Ru Tc Pt
1 2 1
Direct
0.747 0.747 0.747
0.000 0.000 0.000
0.252 0.252 0.252
0.500 0.500 0.500

---

RbZn2CuS | Alexandria | GGA-PBE | relaxed; raw formation energy = 1141 meV per atom; magnetization = 0.08 μB/f.u.; calculated density = 1.82 g/cm³; VASP energy = -1.207 eV per atom
1.0
-2.953 4.804 -3.937
-5.374 -1.371 2.358
0.984 4.666 4.955
Cu Rb S Zn
1 1 1 2
Direct
0.500 0.500 0.500
0.000 0.000 0.000
0.000 0.500 0.000
0.000 0.000 0.500
0.500 0.000 0.000

---

CaHg2Pt2 | Alexandria | GGA-PBE | relaxed; E above lowest polymorph = 94 meV per atom; calculated formation energy = -0.29 eV per atom; magnetization = 0.00 μB/f.u.; calculated density = 13.47 g/cm³; VASP energy = -3.231 eV per atom
1.0
-6.818 -0.759 4.298
-0.214 -7.904 -1.736
1.685 -0.609 2.565
Hg Pt Ca
4 4 2
Direct
0.374 0.874 0.000
0.126 0.374 0.000
0.874 0.626 0.000
0.626 0.126 0.000
0.674 0.826 0.500
0.826 0.326 0.500
0.174 0.674 0.500
0.326 0.174 0.500
0.000 0.000 0.000
0.500 0.500 0.000

---

Tb2TmV | Alexandria | GGA-PBE | relaxed; calculated formation energy = 0.60 eV per atom; magnetization = 3.17 μB/f.u.; calculated density = 7.99 g/cm³; VASP energy = -5.109 eV per atom
1.0
-0.885 -2.011 -2.550
-0.032 -3.339 0.423
-11.176 -1.254 2.648
V Tm Tb
1 1 2
Direct
0.000 0.000 0.000
0.500 0.500 0.500
0.082 0.082 0.753
0.918 0.918 0.247

---

Te2AsPtI | Alexandria | GGA-PBE | relaxed; E above lowest polymorph = 0 meV per atom; raw formation energy = 569 meV per atom; magnetization = 0.00 μB/f.u.; calculated density = 7.17 g/cm³; VASP energy = -3.136 eV per atom
1.0
-2.288 1.012 -4.665
-4.449 -2.327 1.677
-1.762 4.732 1.891
Te Pt As I
2 1 1 1
Direct
0.000 0.500 0.000
0.500 0.000 0.000
0.000 0.000 0.000
0.500 0.500 0.500
0.000 0.000 0.500